{
  "formula": "Al2CdGe",
  "functional": "PBE-GGA",
  "state": "optimized geometry",
  "dft_energy_ev_per_atom": -3.057,
  "delta_e_f_ev_per_atom": 0.197,
  "de_polymorph_mev_per_atom": 15,
  "cell": [[-1.706, 0.675, 2.744], [-2.799, -0.847, -1.531], [0.838, -6.680, 2.164]],
  "species": ["Cd", "Ge", "Al", "Al"],
  "frac_coords": [[0.500, 0.500, 0.500], [0.500, 0.500, 0.000], [0.000, 0.000, 0.217], [0.000, 0.000, 0.783]]
}